A plane-wave DFT calculation with PBE was carried out for an optimized crystal structure of HoThRhAu.

DOS(E_F), states/eV/f.u.: 2.21
Energy relative to the lowest polymorph listed for this composition, eV/f.u.: 0.00

CIF file:
```
data_HoThRhAu
_cell_length_a 4.146
_cell_length_b 3.926
_cell_length_c 11.729
_cell_angle_alpha 90.00
_cell_angle_beta 90.00
_cell_angle_gamma 90.00
_symmetry_space_group_name_H-M 'A m m 2'
_symmetry_Int_Tables_number 38
_symmetry_space_group_name_Hall 'A 2 -2'
loop_
_atom_site_label
_atom_site_type_symbol
_atom_site_fract_x
_atom_site_fract_y
_atom_site_fract_z
Ho1 Ho 0.000 0.000 0.000
Th1 Th 0.500 0.000 0.719
Rh1 Rh 0.000 0.000 0.249
Au1 Au 0.500 0.000 0.437
```